Entry 1:
Here is a relaxed In2TcHg crystal from Alexandria. Energies are from PBE.

## Properties
The density of states at the Fermi level is 2.5 states/eV per cell. As for the formation energy from the elements: 1.603 eV/f.u. The total magnetization is 1.8 μB/cell.

Lattice parameters (Å, degrees): 3.0833 3.0833 9.1830 90.00 90.00 89.99
Each line ends with the local moment (μB).
Positions (direct):
Hg (0.5000, 0.5000, 0.7125)  0.02
Tc (0.0000, 0.0000, 0.4982)  1.62
In (0.0000, 0.0000, 0.9958)  -0.01
In (0.5000, 0.5000, 0.2936)  0.01



Entry 2:
Here is a relaxed InTc2Hg crystal from Alexandria. Energies are from PBE.

## Properties
The density of states at the Fermi level is 2.5 states/eV per cell. As for the formation energy from the elements: 0.603 eV/f.u. The total magnetization is 0.0 μB/cell.

Lattice parameters (Å, degrees): 2.9670 3.0277 8.5012 79.65 90.00 90.00
Positions (direct):
Tc (0.0000, 0.9199, 0.0360)
Tc (0.5000, 0.3336, 0.2076)
In (0.5000, 0.5440, 0.7904)
Hg (0.0000, 0.7025, 0.4660)



Entry 3:
Here is a relaxed InTc2Hg crystal from Alexandria. Energies are from PBE.

## Properties
The density of states at the Fermi level is 3.5 states/eV per cell. As for the formation energy from the elements: 0.716 eV/f.u. The total magnetization is 0.0 μB/cell.

Lattice parameters (Å, degrees): 2.9915 2.9915 8.3114 90.00 90.00 90.00
Positions (direct):
Tc (0.5000, 0.5000, 0.2093)
Hg (0.0000, 0.0000, 0.4694)
In (0.5000, 0.5000, 0.7866)
Tc (0.0000, 0.0000, 0.0348)



Entry 4:
Here is a relaxed InTc2Hg crystal from Alexandria. Energies are from PBE.

## Properties
The density of states at the Fermi level is 5.7 states/eV per cell. As for the formation energy from the elements: 2.582 eV/f.u. The total magnetization is 1.3 μB/cell.

Lattice parameters (Å, degrees): 3.2609 3.2609 6.5618 90.00 90.00 90.00
Each line ends with the local moment (μB).
Positions (direct):
Tc (0.0000, 0.0000, 0.5076)  0.61
Hg (0.5000, 0.5000, 0.2500)  0.01
Tc (0.0000, 0.0000, 0.9924)  0.61
In (0.5000, 0.5000, 0.7500)  -0.01



Entry 5:
Here is a relaxed InTc2Hg crystal from Alexandria. Energies are from PBE.

## Properties
The density of states at the Fermi level is 3.4 states/eV per cell. As for the formation energy from the elements: 2.292 eV/f.u. The total magnetization is 0.0 μB/cell.

Lattice parameters (Å, degrees): 4.7522 3.1092 5.0478 88.74 90.00 90.00
Positions (direct):
Tc (0.0000, 0.0832, 0.9622)
Hg (0.5000, 0.2500, 0.2500)
Tc (0.0000, 0.4168, 0.5378)
In (0.5000, 0.7500, 0.7500)



Entry 6:
Here is a relaxed In2TcHg crystal from Alexandria. Energies are from PBE.

## Properties
The density of states at the Fermi level is 3.3 states/eV per cell. As for the formation energy from the elements: 2.566 eV/f.u. The total magnetization is 1.8 μB/cell.

Lattice parameters (Å, degrees): 4.9130 4.9130 4.9130 60.00 60.00 60.00
Each line ends with the local moment (μB).
Positions (direct):
Tc (0.7500, 0.7500, 0.7500)  1.51
In (0.2500, 0.2500, 0.2500)  0.04
Hg (0.5000, 0.5000, 0.5000)  0.02
In (0.0000, 0.0000, 0.0000)  -0.02



Entry 7:
Here is a relaxed In2TcHg crystal from Alexandria. Energies are from PBE.

## Properties
The density of states at the Fermi level is 1.9 states/eV per cell. As for the formation energy from the elements: 1.342 eV/f.u. The total magnetization is 0.0 μB/cell.

Lattice parameters (Å, degrees): 5.6344 5.6344 5.6344 141.63 133.46 61.84
Positions (direct):
Tc (0.5053, 0.5053, 0.0000)
In (0.7342, 0.2342, 0.5000)
In (0.9993, 0.9993, 0.0000)
Hg (0.2612, 0.7612, 0.5000)



Entry 8:
Here is a relaxed InTc2Hg crystal from Alexandria. Energies are from PBE.

## Properties
The density of states at the Fermi level is 3.6 states/eV per cell. As for the formation energy from the elements: 2.177 eV/f.u. The total magnetization is 0.0 μB/cell.

Lattice parameters (Å, degrees): 4.9368 4.9368 4.9368 129.70 129.70 73.88
Positions (direct):
Tc (0.2500, 0.7500, 0.5000)
In (0.7500, 0.2500, 0.5000)
Tc (0.0000, 0.0000, 0.0000)
Hg (0.5000, 0.5000, 0.0000)



Entry 9:
Here is a relaxed InTc2Hg crystal from Alexandria. Energies are from PBE.

## Properties
The density of states at the Fermi level is 6.2 states/eV per cell. As for the formation energy from the elements: 4.001 eV/f.u. The total magnetization is 4.9 μB/cell.

Lattice parameters (Å, degrees): 7.5834 7.5834 6.0141 50.92 50.92 90.00
Each line ends with the local moment (μB).
Positions (direct):
Tc (0.6230, 0.1250, 0.2500)  1.14
In (0.5000, 0.5000, 0.0000)  -0.02
Tc (0.3750, 0.3770, 0.7500)  1.14
Hg (0.7500, 0.2500, 0.5000)  -0.01
In (0.2500, 0.7500, 0.5000)  -0.02
Tc (0.8750, 0.8730, 0.7500)  1.14
Tc (0.1270, 0.6250, 0.2500)  1.14
Hg (0.0000, 0.0000, 0.0000)  -0.01



Entry 10:
Here is a relaxed In2TcHg crystal from Alexandria. Energies are from PBE.

## Properties
The density of states at the Fermi level is 2.3 states/eV per cell. As for the formation energy from the elements: 1.669 eV/f.u. The total magnetization is 1.6 μB/cell.

Lattice parameters (Å, degrees): 3.2105 5.4028 5.8034 54.44 90.00 90.00
Each line ends with the local moment (μB).
Positions (direct):
Tc (0.5000, 0.5000, 0.5000)  1.44
In (0.0000, 0.0000, 0.0000)  -0.02
In (0.5000, 0.5000, 0.0000)  0.01
Hg (0.0000, 0.0000, 0.5000)  0.00



Entry 11:
Here is a relaxed InTc2Hg crystal from Alexandria. Energies are from PBE.

## Properties
The density of states at the Fermi level is 4.5 states/eV per cell. As for the formation energy from the elements: 2.310 eV/f.u. The total magnetization is 0.6 μB/cell.

Lattice parameters (Å, degrees): 9.3976 9.3976 9.3976 18.17 18.17 18.17
Each line ends with the local moment (μB).
Positions (direct):
Tc (0.4990, 0.4990, 0.4990)  0.29
Tc (0.0010, 0.0010, 0.0010)  0.29
Hg (0.2500, 0.2500, 0.2500)  0.00
In (0.7500, 0.7500, 0.7500)  0.00



Entry 12:
Here is a relaxed InTc4Hg crystal from Alexandria. Energies are from PBE.

## Properties
The density of states at the Fermi level is 6.5 states/eV per cell. As for the formation energy from the elements: 3.092 eV/f.u. The total magnetization is 0.0 μB/cell.

Lattice parameters (Å, degrees): 5.2610 5.2610 5.2610 60.00 60.00 60.00
Positions (direct):
In (0.0000, 0.0000, 0.0000)
Tc (0.3752, 0.8743, 0.3752)
Hg (0.7500, 0.7500, 0.7500)
Tc (0.3752, 0.3752, 0.3752)
Tc (0.3752, 0.3752, 0.8743)
Tc (0.8743, 0.3752, 0.3752)



Entry 13:
Here is a relaxed InTc2Hg2 crystal from Alexandria. Energies are from PBE.

## Properties
The density of states at the Fermi level is 4.3 states/eV per cell. As for the formation energy from the elements: 2.758 eV/f.u. The total magnetization is 0.0 μB/cell.

Lattice parameters (Å, degrees): 9.5107 9.5107 9.5107 158.96 158.96 29.93
Positions (direct):
Tc (0.2500, 0.7500, 0.5000)
Tc (0.7500, 0.2500, 0.5000)
In (0.0000, 0.0000, 0.0000)
Hg (0.6165, 0.6165, 0.0000)
Hg (0.3835, 0.3835, 0.0000)



Entry 14:
Here is a relaxed InTc2Hg crystal from Alexandria. Energies are from PBE.

## Properties
The density of states at the Fermi level is 1.4 states/eV per cell. As for the formation energy from the elements: 1.223 eV/f.u. The total magnetization is 0.0 μB/cell.

Lattice parameters (Å, degrees): 10.1316 10.1316 10.1316 16.58 16.58 16.58
Positions (direct):
Hg (0.5083, 0.5083, 0.5083)
Tc (0.2593, 0.2593, 0.2593)
In (0.7402, 0.7402, 0.7402)
Tc (0.9922, 0.9922, 0.9922)



Entry 15:
Here is a relaxed InTc2Hg crystal from Alexandria. Energies are from PBE.

## Properties
The density of states at the Fermi level is 5.7 states/eV per cell. As for the formation energy from the elements: 2.614 eV/f.u. The total magnetization is 1.5 μB/cell.

Lattice parameters (Å, degrees): 4.6174 4.6174 4.6174 60.00 60.00 60.00
Each line ends with the local moment (μB).
Positions (direct):
Tc (0.7500, 0.7500, 0.7500)  0.67
In (0.0000, 0.0000, 0.0000)  -0.01
Tc (0.2500, 0.2500, 0.2500)  0.67
Hg (0.5000, 0.5000, 0.5000)  0.01



Entry 16:
Here is a relaxed In2TcHg crystal from Alexandria. Energies are from PBE.

## Properties
The density of states at the Fermi level is 1.3 states/eV per cell. As for the formation energy from the elements: 1.306 eV/f.u. The total magnetization is 0.8 μB/cell.

Lattice parameters (Å, degrees): 5.3703 5.3703 5.3703 133.77 133.92 67.33
Each line ends with the local moment (μB).
Positions (direct):
Hg (0.2500, 0.7500, 0.5000)  -0.01
In (0.4998, 0.4998, 0.0000)  -0.03
In (0.0002, 0.0002, 0.0000)  -0.03
Tc (0.7500, 0.2500, 0.5000)  0.79



Entry 17:
Here is a relaxed InTcHg4 crystal from Alexandria. Energies are from PBE.

## Properties
The density of states at the Fermi level is 5.4 states/eV per cell. As for the formation energy from the elements: 4.273 eV/f.u. The total magnetization is 3.3 μB/cell.

Lattice parameters (Å, degrees): 5.8774 5.8774 5.8774 60.00 60.00 60.00
Each line ends with the local moment (μB).
Positions (direct):
In (0.7500, 0.7500, 0.7500)  0.00
Hg (0.8767, 0.3744, 0.3744)  -0.01
Hg (0.3744, 0.8767, 0.3744)  -0.01
Hg (0.3744, 0.3744, 0.8767)  -0.01
Tc (0.0000, 0.0000, 0.0000)  2.94
Hg (0.3744, 0.3744, 0.3744)  -0.01



Entry 18:
Here is a relaxed In2TcHg crystal from Alexandria. Energies are from PBE.

## Properties
The density of states at the Fermi level is 3.3 states/eV per cell. As for the formation energy from the elements: 1.489 eV/f.u. The total magnetization is 0.0 μB/cell.

Lattice parameters (Å, degrees): 4.8823 4.8823 3.4381 90.00 90.00 102.88
Positions (direct):
In (0.5000, 0.5000, 0.0000)
Hg (0.0000, 0.5000, 0.5000)
In (0.0000, 0.0000, 0.0000)
Tc (0.5000, 0.0000, 0.5000)



Entry 19:
Here is a relaxed InTc2Hg crystal from Alexandria. Energies are from PBE.

## Properties
The density of states at the Fermi level is 3.9 states/eV per cell. As for the formation energy from the elements: 1.900 eV/f.u. The total magnetization is 0.0 μB/cell.

Lattice parameters (Å, degrees): 5.2176 5.2176 4.9100 76.24 76.24 33.36
Positions (direct):
Tc (0.7287, 0.7287, 0.7616)
Tc (0.0197, 0.0197, 0.9890)
Hg (0.4891, 0.4891, 0.5167)
In (0.2626, 0.2626, 0.2327)



Entry 20:
Here is a relaxed In2TcHg crystal from Alexandria. Energies are from PBE.

## Properties
The density of states at the Fermi level is 3.3 states/eV per cell. As for the formation energy from the elements: 1.476 eV/f.u. The total magnetization is 0.1 μB/cell.

Lattice parameters (Å, degrees): 3.7366 3.7366 5.8464 90.00 90.00 90.00
Each line ends with the local moment (μB).
Positions (direct):
In (0.0000, 0.0000, 0.9885)  0.00
In (0.5000, 0.5000, 0.2799)  0.00
Hg (0.5000, 0.5000, 0.7513)  0.00
Tc (0.0000, 0.0000, 0.4803)  0.07



Entry 21:
Here is a relaxed In2TcHg crystal from Alexandria. Energies are from PBE.

## Properties
The density of states at the Fermi level is 2.8 states/eV per cell. As for the formation energy from the elements: 1.259 eV/f.u. The total magnetization is 0.0 μB/cell.

Lattice parameters (Å, degrees): 9.5167 9.5167 9.5167 19.54 19.54 19.54
Positions (direct):
In (0.5083, 0.5083, 0.5083)
In (0.9917, 0.9917, 0.9917)
Hg (0.7500, 0.7500, 0.7500)
Tc (0.2500, 0.2500, 0.2500)



Entry 22:
Here is a relaxed In2TcHg crystal from Alexandria. Energies are from PBE.

## Properties
The density of states at the Fermi level is 3.2 states/eV per cell. As for the formation energy from the elements: 1.143 eV/f.u. The total magnetization is 0.0 μB/cell.

Lattice parameters (Å, degrees): 3.6070 3.6091 6.1755 90.00 90.00 90.00
Positions (direct):
In (0.0000, 0.0000, 0.0215)
Tc (0.5000, 0.5000, 0.2500)
In (0.0000, 0.0000, 0.4785)
Hg (0.5000, 0.5000, 0.7500)



Entry 23:
Here is a relaxed In12Hg5Te3 crystal from Alexandria. Energies are from PBE.

## Properties
The density of states at the Fermi level is 55.3 states/eV per cell. The value obtained for the energy relative to the elements, uncorrected is 70 meV/atom. The total magnetization is 0.0 μB/cell.

Lattice parameters (Å, degrees): 15.4332 15.4332 15.4332 109.47 109.47 109.47
Positions (direct):
In (0.9435, 0.5828, 0.1651)
In (0.0823, 0.1651, 0.2216)
In (0.4177, 0.1393, 0.5828)
In (0.6393, 0.5828, 0.9177)
In (0.2216, 0.5565, 0.6393)
Hg (0.1250, 0.7500, 0.3750)
Hg (0.0000, 0.0000, 0.5000)
In (0.4172, 0.0565, 0.3349)
In (0.3607, 0.4172, 0.0823)
In (0.8349, 0.9177, 0.2784)
Hg (0.8750, 0.2500, 0.6250)
In (0.7216, 0.5823, 0.1651)
In (0.9177, 0.8349, 0.7784)
In (0.6393, 0.0565, 0.2216)
In (0.9177, 0.0828, 0.6393)
In (0.8349, 0.9172, 0.0565)
Hg (0.7500, 0.6250, 0.3750)
In (0.4177, 0.2784, 0.3349)
In (0.0828, 0.1651, 0.4435)
In (0.9435, 0.3607, 0.2784)
Te (0.6250, 0.3750, 0.7500)
In (0.9172, 0.0823, 0.8607)
In (0.2784, 0.4177, 0.8349)
In (0.1651, 0.0828, 0.9435)
Te (0.2500, 0.6250, 0.8750)
Hg (0.5000, 0.0000, 0.0000)
Hg (0.8750, 0.6250, 0.7500)
Hg (0.0000, 0.5000, 0.5000)
Hg (0.6250, 0.7500, 0.8750)
Hg (0.2500, 0.8750, 0.1250)
In (0.4172, 0.3607, 0.5823)
Te (0.7500, 0.3750, 0.1250)
In (0.3349, 0.7784, 0.4177)
In (0.0565, 0.4172, 0.8349)
In (0.1651, 0.0823, 0.7216)
Hg (0.3750, 0.2500, 0.1250)
Hg (0.7500, 0.1250, 0.8750)
Te (0.3750, 0.6250, 0.2500)
In (0.8607, 0.2784, 0.4435)
In (0.5565, 0.2216, 0.1393)
In (0.3349, 0.5565, 0.4172)
Te (0.3750, 0.7500, 0.6250)
In (0.5828, 0.9435, 0.6651)
Hg (0.1250, 0.3750, 0.2500)
Hg (0.6250, 0.8750, 0.2500)
In (0.7784, 0.3349, 0.9177)
In (0.2784, 0.8607, 0.9435)
Hg (0.5000, 0.5000, 0.5000)
In (0.1393, 0.7216, 0.5565)
Hg (0.0000, 0.0000, 0.0000)
Hg (0.5000, 0.0000, 0.5000)
Te (0.1250, 0.2500, 0.8750)
In (0.6651, 0.2216, 0.5823)
Te (0.1250, 0.8750, 0.7500)
Te (0.6250, 0.2500, 0.3750)
Hg (0.2500, 0.3750, 0.6250)
Te (0.8750, 0.1250, 0.2500)
In (0.0828, 0.9177, 0.1393)
Te (0.7500, 0.8750, 0.6250)
In (0.5823, 0.7216, 0.6651)
In (0.2216, 0.6651, 0.0823)
In (0.0565, 0.6393, 0.7216)
In (0.5823, 0.8607, 0.4172)
In (0.4435, 0.6651, 0.0828)
In (0.3607, 0.9435, 0.7784)
Hg (0.0000, 0.5000, 0.0000)
In (0.7784, 0.4435, 0.3607)
In (0.8607, 0.5823, 0.9172)
In (0.5565, 0.3349, 0.9172)
In (0.7216, 0.1393, 0.0565)
In (0.5828, 0.6393, 0.4177)
In (0.9172, 0.8349, 0.5565)
Hg (0.5000, 0.5000, 0.0000)
Te (0.2500, 0.1250, 0.3750)
Te (0.8750, 0.7500, 0.1250)
In (0.4435, 0.7784, 0.8607)
In (0.6651, 0.4435, 0.5828)
In (0.0823, 0.9172, 0.3607)
Hg (0.3750, 0.1250, 0.7500)
In (0.1393, 0.4177, 0.0828)



Entry 24:
Here is a relaxed In4Hg3Te2 crystal from Alexandria. Energies are from PBE.

## Properties
The density of states at the Fermi level is 5.2 states/eV per cell. The value obtained for the energy relative to the elements, uncorrected is -91 meV/atom. The total magnetization is 0.0 μB/cell.

Lattice parameters (Å, degrees): 6.6100 9.5994 9.5923 86.22 76.10 76.04
Positions (direct):
Hg (0.9804, 0.0240, 0.1644)
In (0.7959, 0.2152, 0.4183)
In (0.5203, 0.9478, 0.2885)
Te (0.2672, 0.2065, 0.4668)
In (0.0211, 0.2885, 0.9482)
Hg (0.7505, 0.2710, 0.7291)
In (0.7042, 0.5816, 0.7853)
In (0.2958, 0.4184, 0.2147)
Hg (0.0196, 0.9760, 0.8356)
Te (0.7667, 0.4670, 0.2065)
Hg (0.2495, 0.7290, 0.2709)
In (0.2041, 0.7848, 0.5817)
Hg (0.4818, 0.1642, 0.0240)
Hg (0.5182, 0.8358, 0.9760)
Te (0.7328, 0.7935, 0.5332)
In (0.9789, 0.7115, 0.0518)
Te (0.2333, 0.5330, 0.7935)
In (0.4797, 0.0522, 0.7115)



Entry 25:
Here is a relaxed InHg2Te crystal from Alexandria. Energies are from PBE.

## Properties
The density of states at the Fermi level is 2.3 states/eV per cell. The value obtained for the energy relative to the elements, uncorrected is 32 meV/atom. The total magnetization is 0.0 μB/cell.

Lattice parameters (Å, degrees): 3.1979 5.5621 6.3751 90.00 90.00 90.00
Positions (direct):
In (0.5000, 0.5000, 0.2500)
Hg (0.0000, 0.0000, 0.5025)
Hg (0.0000, 0.0000, 0.9975)
Te (0.5000, 0.5000, 0.7500)